The following is a PBE with a Hubbard U calculation of crystalline NiWO2 at its relaxed geometry, from the Alexandria database.

The structure in CIF format:
```
data_NiWO2
_symmetry_space_group_name_H-M 'I -4 2 d'
_symmetry_Int_Tables_number 122
_symmetry_space_group_name_Hall 'I -4 2bw'
_cell_length_a 3.921
_cell_length_b 3.921
_cell_length_c 12.473
_cell_angle_alpha 90.00
_cell_angle_beta 90.00
_cell_angle_gamma 90.00
loop_
_atom_site_label
_atom_site_type_symbol
_atom_site_fract_x
_atom_site_fract_y
_atom_site_fract_z
_atom_site_occupancy
Ni1 Ni 0.000 0.000 0.000 1
W1 W 0.000 0.000 0.500 1
O1 O 0.224 0.250 0.625 1
```

Output
Energy above the most stable polymorph in this dataset: 494.3 meV/atom